Entry 1:
# Li2PmSn3Se6

A relaxed structure of Li2PmSn3Se6 (GGA-PBE, the Alexandria database).

a b c (Å): 7.1351 7.1351 7.3388
angles (deg): 99.26 99.26 120.08
Sites, in units of the cell vectors:
Li 0.1713 0.8287 0.0000
Li 0.8287 0.1713 0.0000
Pm 0.5000 0.5000 0.0000
Sn 0.0000 0.0000 0.5000
Sn 0.3357 0.6643 0.5000
Sn 0.6643 0.3357 0.5000
Se 0.0844 0.4192 0.7614
Se 0.2470 0.2470 0.2443
Se 0.4192 0.0844 0.7614
Se 0.5808 0.9156 0.2386
Se 0.7530 0.7530 0.7557
Se 0.9156 0.5808 0.2386

Values from the calculation:
space-group type: C2/m (12)
total DFT energy (no corrections): -4.35 eV per atom


Entry 2:
# AcPrTeAu

A relaxed structure of AcPrTeAu (GGA-PBE, the Alexandria database).

a b c (Å): 5.5525 5.5525 5.5525
angles (deg): 60.00 60.00 60.00
Sites, in units of the cell vectors:
Ac 0.0000 0.0000 0.0000
Pr 0.5000 0.5000 0.5000
Te 0.2500 0.2500 0.2500
Au 0.7500 0.7500 0.7500

Values from the calculation:
space-group type: F-43m (216)
offset from the most stable computed form: 0.2104 eV/atom


Entry 3:
# EuHg2As

A relaxed structure of EuHg2As (GGA-PBE, the Alexandria database).

a b c (Å): 4.5196 4.5196 5.7122
angles (deg): 113.11 113.11 90.03
Sites, in units of the cell vectors:
Eu 0.0000 0.0000 0.0000
Hg 0.2503 0.7497 0.5000
Hg 0.7497 0.2503 0.5000
As 0.5000 0.5000 0.0000

Values from the calculation:
space-group type: C2/m (12)
ΔE_f: -0.4589 eV/atom


| no. | size of the total moment (μB per formula unit) |
| --- | --- |
| 1 | 0.00 |
| 2 | 1.29 |
| 3 | 6.91 |